# 1
Compound: Fe2TePb
Source: the Alexandria database
Functional: PBE
Structure: optimized geometry

```
Fe2TePb
1.0
6.9297 0.0000 0.0000
0.0000 6.9297 0.0000
0.0000 0.0000 6.9297
Fe Te Pb
8 4 4
Cartesian
0.0000 0.0000 0.0000
0.0000 3.4649 3.4649
1.7324 1.7324 1.7324
1.7324 5.1973 5.1973
3.4649 0.0000 3.4649
3.4649 3.4649 0.0000
5.1973 1.7324 5.1973
5.1973 5.1973 1.7324
0.0000 0.0000 3.4649
0.0000 3.4649 0.0000
3.4649 0.0000 0.0000
3.4649 3.4649 3.4649
1.7324 1.7324 5.1973
1.7324 5.1973 1.7324
5.1973 1.7324 1.7324
5.1973 5.1973 5.1973
```

Uncorrected formation energy, eV per atom: 0.809
E, eV per atom: -5.135
SG: No. 216
Energy above the lowest structure with this stoichiometry, eV per atom: 0.636

***

# 2
Compound: Fe2TePb
Source: the Alexandria database
Functional: PBE
Structure: optimized geometry

```
Fe2TePb
1.0
3.2410 0.0000 0.0000
0.0000 3.2410 0.0000
0.0000 0.0000 7.9563
Fe Te Pb
2 1 1
Cartesian
0.0000 0.0000 0.0000
1.6205 1.6205 1.1174
1.6205 1.6205 6.4194
0.0000 0.0000 3.0266
```

Uncorrected formation energy, eV per atom: 0.214
E, eV per atom: -5.730
SG: No. 99
Energy above the lowest structure with this stoichiometry, eV per atom: 0.041

***

Q: Which value of E does entry 2 give?
A: -5.730 eV per atom

***

What did the second record say?
Compound: Fe2TePb
Source: the Alexandria database
Functional: PBE
Structure: optimized geometry

```
Fe2TePb
1.0
3.2410 0.0000 0.0000
0.0000 3.2410 0.0000
0.0000 0.0000 7.9563
Fe Te Pb
2 1 1
Cartesian
0.0000 0.0000 0.0000
1.6205 1.6205 1.1174
1.6205 1.6205 6.4194
0.0000 0.0000 3.0266
```

Uncorrected formation energy, eV per atom: 0.214
E, eV per atom: -5.730
SG: No. 99
Energy above the lowest structure with this stoichiometry, eV per atom: 0.041

***

Q: Look up the uncorrected formation energy of the second one.
A: 0.214 eV per atom